No. 1
First-principles (GGA-PBE) data for a relaxed SrZr2Cl crystal, as listed in Alexandria.

Cell lengths 5.624, 5.624, 6.490 Å; angles 66.29, 66.29, 33.30 degrees
Positions (direct):
Cl: 0.452 0.452 0.374
Sr: 0.188 0.188 0.369
Zr: 0.047 0.047 0.958
Zr: 0.814 0.814 0.799

Calculated values
raw formation energy	-235	meV/atom
polymorph energy (0 for the lowest one)	166	meV per atom
DOS(E_F)	2.98	states/eV/cell

No. 2
First-principles (GGA-PBE) data for a relaxed SrZr2Cl crystal, as listed in Alexandria.

Cell lengths 7.970, 7.970, 7.970 Å; angles 150.37, 150.37, 42.40 degrees
Positions (direct):
Cl: 0.250 0.750 0.500
Sr: 0.750 0.250 0.500
Zr: 0.000 0.000 0.000
Zr: 0.500 0.500 0.000

Calculated values
raw formation energy	-80	meV/atom
polymorph energy (0 for the lowest one)	320	meV per atom
DOS(E_F)	4.40	states/eV/cell

No. 3
First-principles (GGA-PBE) data for a relaxed Sr2ZrCl crystal, as listed in Alexandria.

Cell lengths 10.467, 10.467, 10.467 Å; angles 21.01, 21.01, 21.01 degrees
Last column: magnetic moment on the atom in μB.
Positions (direct):
Cl: 0.760 0.760 0.760  0.01
Sr: 0.022 0.022 0.022  0.01
Sr: 0.238 0.238 0.238  0.06
Zr: 0.480 0.480 0.480  0.40

Calculated values
raw formation energy	-299	meV/atom
polymorph energy (0 for the lowest one)	216	meV per atom
DOS(E_F)	1.90	states/eV/cell

No. 4
First-principles (GGA-PBE) data for a relaxed SrZr2Cl crystal, as listed in Alexandria.

Cell lengths 5.167, 5.167, 10.300 Å; angles 75.47, 75.47, 90.00 degrees
Positions (direct):
Sr: 0.000 0.000 0.000
Sr: 0.750 0.250 0.500
Zr: 0.340 0.125 0.250
Zr: 0.410 0.625 0.250
Zr: 0.375 0.660 0.750
Zr: 0.875 0.590 0.750
Cl: 0.500 0.500 0.000
Cl: 0.250 0.750 0.500

Calculated values
raw formation energy	335	meV/atom
polymorph energy (0 for the lowest one)	735	meV per atom
DOS(E_F)	11.66	states/eV/cell

No. 5
First-principles (GGA-PBE) data for a relaxed SrZr2Cl crystal, as listed in Alexandria.

Cell lengths 7.425, 4.074, 4.074 Å; angles 90.00, 90.00, 90.00 degrees
Positions (direct):
Cl: 0.500 0.500 0.000
Sr: 0.500 0.000 0.500
Zr: 0.000 0.000 0.000
Zr: 0.000 0.500 0.500

Calculated values
raw formation energy	-79	meV/atom
polymorph energy (0 for the lowest one)	322	meV per atom
DOS(E_F)	4.90	states/eV/cell

No. 6
First-principles (GGA-PBE) data for a relaxed Sr2ZrCl crystal, as listed in Alexandria.

Cell lengths 6.125, 6.125, 6.125 Å; angles 125.77, 125.77, 80.27 degrees
Last column: magnetic moment on the atom in μB.
Positions (direct):
Cl: 0.750 0.250 0.500  0.02
Sr: 0.000 0.000 0.000  0.14
Sr: 0.500 0.500 0.000  0.14
Zr: 0.250 0.750 0.500  1.68

Calculated values
raw formation energy	184	meV/atom
polymorph energy (0 for the lowest one)	699	meV per atom
DOS(E_F)	4.90	states/eV/cell

No. 7
First-principles (GGA-PBE) data for a relaxed SrZrCl3 crystal, as listed in Alexandria.

Cell lengths 5.594, 5.594, 5.594 Å; angles 90.00, 90.00, 90.00 degrees
Last column: magnetic moment on the atom in μB.
Positions (direct):
Sr: 0.000 0.000 0.000  0.00
Zr: 0.500 0.500 0.500  1.80
Cl: 0.000 0.500 0.000  0.02
Cl: 0.000 0.000 0.500  0.01
Cl: 0.500 0.000 0.000  0.01

Calculated values
raw formation energy	-836	meV/atom
polymorph energy (0 for the lowest one)	363	meV per atom
DOS(E_F)	5.67	states/eV/cell

No. 8
First-principles (GGA-PBE) data for a relaxed SrZr2Cl crystal, as listed in Alexandria.

Cell lengths 6.429, 6.429, 6.429 Å; angles 150.47, 119.29, 68.94 degrees
Positions (direct):
Cl: 0.527 0.527 0.000
Sr: 0.285 0.785 0.500
Zr: 0.961 0.961 0.000
Zr: 0.727 0.227 0.500

Calculated values
raw formation energy	-27	meV/atom
polymorph energy (0 for the lowest one)	373	meV per atom
DOS(E_F)	4.12	states/eV/cell

No. 9
First-principles (GGA-PBE) data for a relaxed SrZr3Cl crystal, as listed in Alexandria.

Cell lengths 5.030, 5.030, 5.030 Å; angles 90.00, 90.00, 90.00 degrees
Positions (direct):
Sr: 0.500 0.500 0.500
Zr: 0.000 0.500 0.000
Zr: 0.000 0.000 0.500
Zr: 0.500 0.000 0.000
Cl: 0.000 0.000 0.000

Calculated values
raw formation energy	83	meV/atom
polymorph energy (0 for the lowest one)	0	meV per atom
DOS(E_F)	10.02	states/eV/cell

No. 10
First-principles (GGA-PBE) data for a relaxed SrZr2Cl crystal, as listed in Alexandria.

Cell lengths 3.317, 3.317, 10.728 Å; angles 90.00, 90.00, 119.44 degrees
Positions (direct):
Cl: 0.500 0.500 0.250
Sr: 0.500 0.500 0.750
Zr: 0.000 0.000 0.042
Zr: 0.000 0.000 0.458

Calculated values
raw formation energy	67	meV/atom
polymorph energy (0 for the lowest one)	468	meV per atom
DOS(E_F)	4.27	states/eV/cell

No. 11
First-principles (GGA-PBE) data for a relaxed SrZr2Cl crystal, as listed in Alexandria.

Cell lengths 5.354, 5.354, 5.354 Å; angles 60.00, 60.00, 60.00 degrees
Last column: magnetic moment on the atom in μB.
Positions (direct):
Cl: 0.500 0.500 0.500  0.04
Sr: 0.750 0.750 0.750  0.06
Zr: 0.000 0.000 0.000  1.01
Zr: 0.250 0.250 0.250  0.85

Calculated values
raw formation energy	453	meV/atom
polymorph energy (0 for the lowest one)	853	meV per atom
DOS(E_F)	6.29	states/eV/cell

No. 12
First-principles (GGA-PBE) data for a relaxed Sr2ZrCl crystal, as listed in Alexandria.

Cell lengths 6.128, 6.128, 3.580 Å; angles 90.16, 90.16, 90.11 degrees
Last column: magnetic moment on the atom in μB.
Positions (direct):
Cl: 0.000 0.500 0.500  0.01
Sr: 0.000 0.000 0.000  0.05
Sr: 0.500 0.500 0.000  0.05
Zr: 0.500 0.000 0.500  0.83

Calculated values
raw formation energy	-158	meV/atom
polymorph energy (0 for the lowest one)	357	meV per atom
DOS(E_F)	4.50	states/eV/cell

No. 13
First-principles (GGA-PBE) data for a relaxed SrZr2Cl crystal, as listed in Alexandria.

Cell lengths 10.613, 10.613, 10.613 Å; angles 18.09, 18.09, 18.09 degrees
Positions (direct):
Cl: 0.250 0.250 0.250
Sr: 0.750 0.750 0.750
Zr: 0.985 0.985 0.985
Zr: 0.515 0.515 0.515

Calculated values
raw formation energy	5	meV/atom
polymorph energy (0 for the lowest one)	405	meV per atom
DOS(E_F)	5.54	states/eV/cell

No. 14
First-principles (GGA-PBE) data for a relaxed Sr2ZrCl crystal, as listed in Alexandria.

Cell lengths 3.677, 3.677, 10.708 Å; angles 90.00, 90.00, 114.94 degrees
Last column: magnetic moment on the atom in μB.
Positions (direct):
Cl: 0.500 0.500 0.729  0.00
Sr: 0.000 0.000 0.948  0.00
Sr: 0.500 0.500 0.281  0.03
Zr: 0.000 0.000 0.543  0.49

Calculated values
raw formation energy	-196	meV/atom
polymorph energy (0 for the lowest one)	320	meV per atom
DOS(E_F)	3.14	states/eV/cell

No. 15
First-principles (GGA-PBE) data for a relaxed Sr2ZrCl crystal, as listed in Alexandria.

Cell lengths 5.907, 5.907, 5.907 Å; angles 60.00, 60.00, 60.00 degrees
Last column: magnetic moment on the atom in μB.
Positions (direct):
Sr: 0.250 0.250 0.250  0.20
Sr: 0.750 0.750 0.750  0.20
Zr: 0.500 0.500 0.500  1.81
Cl: 0.000 0.000 0.000  0.06

Calculated values
raw formation energy	185	meV/atom
polymorph energy (0 for the lowest one)	700	meV per atom
DOS(E_F)	4.59	states/eV/cell

No. 16
First-principles (GGA-PBE) data for a relaxed Sr2ZrCl crystal, as listed in Alexandria.

Cell lengths 7.601, 7.601, 7.601 Å; angles 144.77, 144.77, 50.68 degrees
Last column: magnetic moment on the atom in μB.
Positions (direct):
Cl: 0.750 0.250 0.500  0.03
Sr: 0.000 0.000 0.000  0.14
Sr: 0.250 0.750 0.500  0.04
Zr: 0.500 0.500 0.000  1.29

Calculated values
raw formation energy	61	meV/atom
polymorph energy (0 for the lowest one)	577	meV per atom
DOS(E_F)	5.03	states/eV/cell

No. 17
First-principles (GGA-PBE) data for a relaxed Sr2ZrCl crystal, as listed in Alexandria.

Cell lengths 3.797, 3.797, 10.371 Å; angles 79.51, 79.51, 59.90 degrees
Positions (direct):
Cl: 0.250 0.250 0.250
Sr: 0.990 0.990 0.027
Sr: 0.510 0.510 0.473
Zr: 0.750 0.750 0.750

Calculated values
raw formation energy	-516	meV/atom
polymorph energy (0 for the lowest one)	0	meV per atom
DOS(E_F)	4.19	states/eV/cell

No. 18
First-principles (GGA-PBE) data for a relaxed Sr2ZrCl crystal, as listed in Alexandria.

Cell lengths 6.857, 6.857, 6.857 Å; angles 148.34, 117.66, 71.61 degrees
Last column: magnetic moment on the atom in μB.
Positions (direct):
Cl: 0.250 0.750 0.500  0.01
Sr: 0.048 0.048 0.000  0.04
Sr: 0.452 0.452 0.000  0.04
Zr: 0.750 0.250 0.500  1.23

Calculated values
raw formation energy	-110	meV/atom
polymorph energy (0 for the lowest one)	405	meV per atom
DOS(E_F)	4.78	states/eV/cell

No. 19
First-principles (GGA-PBE) data for a relaxed SrZr2Cl crystal, as listed in Alexandria.

Cell lengths 5.292, 5.292, 5.292 Å; angles 60.00, 60.00, 60.00 degrees
Positions (direct):
Sr: 0.500 0.500 0.500
Zr: 0.250 0.250 0.250
Zr: 0.750 0.750 0.750
Cl: 0.000 0.000 0.000

Calculated values
raw formation energy	818	meV/atom
polymorph energy (0 for the lowest one)	1218	meV per atom
DOS(E_F)	9.14	states/eV/cell

No. 20
First-principles (GGA-PBE) data for a relaxed SrZr2Cl crystal, as listed in Alexandria.

Cell lengths 3.240, 3.240, 9.459 Å; angles 90.00, 90.00, 90.00 degrees
Positions (direct):
Cl: 0.500 0.500 0.250
Sr: 0.500 0.500 0.750
Zr: 0.000 0.000 0.066
Zr: 0.000 0.000 0.434

Calculated values
raw formation energy	119	meV/atom
polymorph energy (0 for the lowest one)	519	meV per atom
DOS(E_F)	3.77	states/eV/cell

No. 21
First-principles (GGA-PBE) data for a relaxed Sr2ZrCl crystal, as listed in Alexandria.

Cell lengths 3.604, 3.604, 9.603 Å; angles 90.00, 90.00, 90.00 degrees
Positions (direct):
Cl: 0.500 0.500 0.750
Sr: 0.000 0.000 0.981
Sr: 0.000 0.000 0.519
Zr: 0.500 0.500 0.250

Calculated values
raw formation energy	-490	meV/atom
polymorph energy (0 for the lowest one)	26	meV per atom
DOS(E_F)	3.42	states/eV/cell

No. 22
First-principles (GGA-PBE) data for a relaxed SrZr2Cl crystal, as listed in Alexandria.

Cell lengths 5.627, 5.627, 3.324 Å; angles 90.00, 90.00, 90.00 degrees
Positions (direct):
Cl: 0.500 0.000 0.500
Sr: 0.000 0.500 0.500
Zr: 0.000 0.000 0.000
Zr: 0.500 0.500 0.000

Calculated values
raw formation energy	592	meV/atom
polymorph energy (0 for the lowest one)	992	meV per atom
DOS(E_F)	4.28	states/eV/cell

No. 23
First-principles (GGA-PBE) data for a relaxed Sr2ZrCl crystal, as listed in Alexandria.

Cell lengths 8.872, 8.872, 7.370 Å; angles 53.00, 53.00, 90.00 degrees
Last column: magnetic moment on the atom in μB.
Positions (direct):
Sr: 0.560 0.125 0.250  0.09
Sr: 0.190 0.625 0.250  0.09
Sr: 0.375 0.440 0.750  0.09
Sr: 0.875 0.810 0.750  0.08
Zr: 0.000 0.000 0.000  1.48
Zr: 0.750 0.250 0.500  1.48
Cl: 0.500 0.500 0.000  0.02
Cl: 0.250 0.750 0.500  0.02

Calculated values
raw formation energy	-40	meV/atom
polymorph energy (0 for the lowest one)	475	meV per atom
DOS(E_F)	11.08	states/eV/cell

No. 24
First-principles (GGA-PBE) data for a relaxed SrZrCl6 crystal, as listed in Alexandria.

Cell lengths 8.235, 6.734, 7.013 Å; angles 97.45, 107.49, 126.66 degrees
Positions (direct):
Sr: 0.000 0.000 0.000
Zr: 0.500 0.000 0.000
Cl: 0.852 0.128 0.287
Cl: 0.565 0.841 0.713
Cl: 0.435 0.159 0.287
Cl: 0.148 0.872 0.713
Cl: 0.260 0.540 0.000
Cl: 0.740 0.460 0.000

Calculated values
raw formation energy	-2028	meV/atom
DOS(E_F)	0.00	states/eV/cell

No. 25
First-principles (GGA-PBE) data for a relaxed Sr2ZrCl crystal, as listed in Alexandria.

Cell lengths 5.876, 5.876, 5.876 Å; angles 60.00, 60.00, 60.00 degrees
Last column: magnetic moment on the atom in μB.
Positions (direct):
Cl: 0.500 0.500 0.500  0.03
Sr: 0.000 0.000 0.000  0.19
Sr: 0.250 0.250 0.250  0.10
Zr: 0.750 0.750 0.750  1.58

Calculated values
raw formation energy	404	meV/atom
polymorph energy (0 for the lowest one)	920	meV per atom
DOS(E_F)	8.99	states/eV/cell

No. 26
First-principles (GGA-PBE) data for a relaxed SrZr2Cl crystal, as listed in Alexandria.

Cell lengths 3.337, 6.369, 5.586 Å; angles 90.00, 90.00, 90.00 degrees
Positions (direct):
Cl: 0.500 0.500 0.250
Sr: 0.500 0.500 0.750
Zr: 0.000 0.000 0.985
Zr: 0.000 0.000 0.515

Calculated values
raw formation energy	167	meV/atom
polymorph energy (0 for the lowest one)	567	meV per atom
DOS(E_F)	5.31	states/eV/cell

No. 27
First-principles (GGA-PBE) data for a relaxed SrZr2Cl crystal, as listed in Alexandria.

Cell lengths 3.407, 3.407, 10.505 Å; angles 90.00, 90.00, 90.00 degrees
Positions (direct):
Cl: 0.000 0.000 0.564
Sr: 0.500 0.500 0.724
Zr: 0.000 0.000 0.015
Zr: 0.500 0.500 0.196

Calculated values
raw formation energy	-400	meV/atom
polymorph energy (0 for the lowest one)	0	meV per atom
DOS(E_F)	3.10	states/eV/cell

No. 28
First-principles (GGA-PBE) data for a relaxed Sr2ZrCl crystal, as listed in Alexandria.

Cell lengths 3.623, 3.623, 12.056 Å; angles 90.00, 90.00, 90.00 degrees
Last column: magnetic moment on the atom in μB.
Positions (direct):
Cl: 0.500 0.500 0.828  0.01
Sr: 0.000 0.000 0.952  0.02
Sr: 0.500 0.500 0.253  0.07
Zr: 0.000 0.000 0.466  1.15

Calculated values
raw formation energy	-187	meV/atom
polymorph energy (0 for the lowest one)	329	meV per atom
DOS(E_F)	3.31	states/eV/cell

No. 29
First-principles (GGA-PBE) data for a relaxed SrZrCl6 crystal, as listed in Alexandria.

Cell lengths 6.801, 6.801, 7.336 Å; angles 62.38, 62.37, 59.99 degrees
Positions (direct):
Sr: 0.500 0.500 0.500
Zr: 0.000 0.000 0.000
Cl: 0.070 0.381 0.769
Cl: 0.780 0.070 0.769
Cl: 0.619 0.219 0.231
Cl: 0.220 0.930 0.231
Cl: 0.930 0.619 0.231
Cl: 0.381 0.781 0.769

Calculated values
raw formation energy	-2029	meV/atom
DOS(E_F)	0.00	states/eV/cell

No. 30
First-principles (GGA-PBE) data for a relaxed Ta2Cl crystal, as listed in Alexandria.

Cell lengths 5.504, 5.504, 6.972 Å; angles 73.44, 73.44, 35.04 degrees
Positions (direct):
Ta: 0.625 0.625 0.090
Ta: 0.896 0.896 0.211
Ta: 0.104 0.104 0.789
Ta: 0.375 0.375 0.910
Cl: 0.356 0.356 0.545
Cl: 0.644 0.644 0.455

Calculated values
raw formation energy	-82	meV/atom
polymorph energy (0 for the lowest one)	0	meV per atom
DOS(E_F)	3.40	states/eV/cell